4
Lattice="0.000 3.374 3.374 3.374 0.000 3.374 3.374 3.374 0.000" Properties=species:S:1:pos:R:3 comment="PBE Na2ZnTc, relaxed" e_tot_ev_per_atom=-2.81 rho_g_cm3=4.5 spacegroup="No. 216" pbc="T T T"
Na 0.000 0.000 0.000
Na 5.060 5.060 5.060
Tc 1.687 1.687 1.687
Zn 3.374 3.374 3.374

---

3
Lattice="0.000 3.163 3.163 3.163 0.000 3.163 3.163 3.163 0.000" Properties=species:S:1:pos:R:3 comment="PBE NaZnTc, relaxed" e_tot_ev_per_atom=-3.10 rho_g_cm3=4.9 spacegroup="No. 216" pbc="T T T"
Na 1.582 1.582 1.582
Tc 0.000 0.000 0.000
Zn 4.745 4.745 4.745

---

4
Lattice="-2.487 -3.633 -0.160 -0.166 -2.711 3.469 -3.674 -0.263 2.417" Properties=species:S:1:pos:R:3 comment="PBE NaZnTc2, relaxed" e_tot_ev_per_atom=-5.32 rho_g_cm3=7.8 spacegroup="No. 216" pbc="T T T"
Na -1.582 -1.652 1.432
Tc 0.000 0.000 0.000
Tc -4.745 -4.955 4.295
Zn -3.163 -3.303 2.863

---

12
Lattice="2.231 -7.771 0.000 2.231 7.771 0.000 0.000 0.000 12.503" Properties=species:S:1:pos:R:3 comment="PBE NaUTlTe3, relaxed" e_tot_ev_per_atom=-4.65 rho_g_cm3=6.5 spacegroup="No. 63" pbc="T T T"
Na 2.232 -1.734 3.126
Na 2.232 1.734 9.377
Te 2.231 -2.083 0.171
Te 2.232 -7.290 3.126
Te 2.231 -2.083 6.081
Te 2.231 2.083 6.422
Te 2.232 7.290 9.377
Te 2.231 2.083 12.332
Tl 2.231 2.827 3.126
Tl 2.231 -2.827 9.377
U 0.000 0.000 0.000
U 0.000 0.000 6.251

---

Please write out number 1 again, unchanged.
4
Lattice="0.000 3.374 3.374 3.374 0.000 3.374 3.374 3.374 0.000" Properties=species:S:1:pos:R:3 comment="PBE Na2ZnTc, relaxed" e_tot_ev_per_atom=-2.81 rho_g_cm3=4.5 spacegroup="No. 216" pbc="T T T"
Na 0.000 0.000 0.000
Na 5.060 5.060 5.060
Tc 1.687 1.687 1.687
Zn 3.374 3.374 3.374